Record 1
Ho6Pd5Au | PBE | relaxed

Output
Final energy, eV per atom: -5.48
DOS at the Fermi energy, states/eV per atom: 0.81

CIF file:
```
data_Ho6Pd5Au
_cell_length_a 7.167
_cell_length_b 11.548
_cell_length_c 7.165
_cell_angle_alpha 90.00
_cell_angle_beta 105.79
_cell_angle_gamma 90.00
_symmetry_space_group_name_H-M 'C 1 2/m 1'
_symmetry_Int_Tables_number 12
_symmetry_space_group_name_Hall '-C 2y'
loop_
_atom_site_label
_atom_site_type_symbol
_atom_site_fract_x
_atom_site_fract_y
_atom_site_fract_z
Ho1 Ho 0.214 0.000 0.216
Ho2 Ho 0.230 0.173 0.725
Pd1 Pd 0.000 0.000 0.500
Pd2 Pd 0.000 0.189 0.000
Pd3 Pd 0.000 0.366 0.500
Au1 Au 0.000 0.500 0.000
```


Record 2
Ho2Pd3Au2 | PBE | relaxed

Output
Final energy, eV per atom: -5.12
DOS at the Fermi energy, states/eV per atom: 0.38

CIF file:
```
data_Ho2Pd3Au2
_cell_length_a 11.177
_cell_length_b 4.259
_cell_length_c 5.868
_cell_angle_alpha 90.00
_cell_angle_beta 90.19
_cell_angle_gamma 90.00
_symmetry_space_group_name_H-M 'C 1 2/m 1'
_symmetry_Int_Tables_number 12
_symmetry_space_group_name_Hall '-C 2y'
loop_
_atom_site_label
_atom_site_type_symbol
_atom_site_fract_x
_atom_site_fract_y
_atom_site_fract_z
Ho1 Ho 0.142 0.000 0.132
Pd1 Pd 0.000 0.000 0.500
Pd2 Pd 0.234 0.000 0.646
Au1 Au 0.077 0.500 0.789
```


Record 3
HoPd2Au | PBE | relaxed

Output
Final energy, eV per atom: -5.32
DOS at the Fermi energy, states/eV per atom: 0.29

CIF file:
```
data_HoPd2Au
_cell_length_a 6.661
_cell_length_b 6.661
_cell_length_c 6.661
_cell_angle_alpha 90.00
_cell_angle_beta 90.00
_cell_angle_gamma 90.00
_symmetry_space_group_name_H-M 'F m -3 m'
_symmetry_Int_Tables_number 225
_symmetry_space_group_name_Hall '-F 4 2 3'
loop_
_atom_site_label
_atom_site_type_symbol
_atom_site_fract_x
_atom_site_fract_y
_atom_site_fract_z
Ho1 Ho 0.000 0.000 0.000
Pd1 Pd 0.250 0.250 0.250
Au1 Au 0.000 0.000 0.500
```


Record 4
Ho5Pd2Au | PBE | relaxed

Output
Final energy, eV per atom: -5.26
DOS at the Fermi energy, states/eV per atom: 1.01

CIF file:
```
data_Ho5Pd2Au
_cell_length_a 7.725
_cell_length_b 7.725
_cell_length_c 13.176
_cell_angle_alpha 90.00
_cell_angle_beta 90.00
_cell_angle_gamma 90.00
_symmetry_space_group_name_H-M 'I 4/m c m'
_symmetry_Int_Tables_number 140
_symmetry_space_group_name_Hall '-I 4 2c'
loop_
_atom_site_label
_atom_site_type_symbol
_atom_site_fract_x
_atom_site_fract_y
_atom_site_fract_z
Ho1 Ho 0.000 0.000 0.000
Ho2 Ho 0.162 0.338 0.144
Pd1 Pd 0.133 0.367 0.500
Au1 Au 0.000 0.000 0.250
```